Record 1
Mg3AlRu | Alexandria | PBE | relaxed; SG = No. 221; calculated formation energy = 1052 meV per atom; E = -2.51 eV/atom; offset from the most stable computed form = 2.83 eV per formula unit
1.0
4.974 0.000 0.000
0.000 4.974 0.000
0.000 0.000 4.974
Mg Ru Al
3 1 1
Cartesian
0.000 0.000 2.487
0.000 2.487 0.000
2.487 0.000 0.000
2.487 2.487 2.487
0.000 0.000 0.000

Record 2
Mg2Al2Ru | Alexandria | PBE | relaxed; SG = No. 127; calculated formation energy = -9 meV per atom; E = -4.00 eV/atom
1.0
6.452 0.000 0.000
0.000 6.452 0.000
0.000 0.000 4.375
Mg Al Ru
4 4 2
Cartesian
4.340 5.338 2.188
5.338 2.112 2.188
1.114 4.340 2.188
2.112 1.114 2.188
5.513 4.166 0.000
2.286 5.513 0.000
0.940 2.286 0.000
4.166 0.940 0.000
0.000 0.000 0.000
3.226 3.226 0.000

Record 3
MgAlRu | Alexandria | PBE | relaxed; SG = No. 156; calculated formation energy = -212 meV per atom; E = -5.08 eV/atom
1.0
-3.059 -2.322 1.903
3.972 -1.570 -0.357
0.705 1.195 2.591
Ru Mg Al
1 1 1
Cartesian
-0.195 -1.189 3.062
1.859 -1.430 1.243
0.659 1.118 2.424

Record 4
Mg3AlRu | Alexandria | PBE | relaxed; SG = No. 221; calculated formation energy = 485 meV per atom; E = -3.08 eV/atom; offset from the most stable computed form = 0.00 eV per formula unit
1.0
-3.148 -2.954 2.386
2.474 0.757 4.200
-2.881 3.877 0.998
Ru Al Mg
1 1 3
Cartesian
0.000 0.000 0.000
-1.778 0.840 3.792
1.237 0.378 2.100
-1.440 1.939 0.499
-1.574 -1.477 1.193

Record 5
MgAlRu2 | Alexandria | PBE | relaxed; SG = No. 25; calculated formation energy = -93 meV per atom; E = -6.07 eV/atom
1.0
-1.748 1.462 -1.728
-2.929 -1.756 1.477
-0.462 4.041 3.887
Ru Mg Al
2 1 1
Cartesian
-2.455 0.871 0.854
-0.005 0.046 0.045
-2.689 2.920 2.824
-0.221 1.931 1.857

Record 6
MgAl2Ru2 | Alexandria | PBE | relaxed; SG = No. 127; calculated formation energy = -465 meV per atom; E = -5.99 eV/atom; offset from the most stable computed form = 0.00 eV per formula unit
1.0
6.973 0.000 0.000
0.000 6.973 0.000
0.000 0.000 3.065
Al Ru Mg
4 4 2
Cartesian
0.925 2.562 0.000
4.412 0.925 0.000
2.562 6.048 0.000
6.048 4.412 0.000
5.846 2.359 1.532
1.128 4.614 1.532
2.359 1.128 1.532
4.614 5.846 1.532
3.487 3.487 0.000
0.000 0.000 0.000

Record 7
MgAlRu2 | Alexandria | PBE | relaxed; SG = No. 166; calculated formation energy = -135 meV per atom; E = -6.11 eV/atom
1.0
8.562 0.025 0.015
8.077 2.842 0.015
8.077 1.391 2.478
Al Ru Mg
1 2 1
Cartesian
6.179 1.064 0.627
24.592 4.237 2.495
12.480 2.150 1.266
18.536 3.193 1.880

Record 8
MgAlRu2 | Alexandria | PBE | relaxed; SG = No. 99; calculated formation energy = -112 meV per atom; E = -6.08 eV/atom
1.0
-0.545 0.630 2.956
-3.021 -0.017 -0.553
-0.200 -6.207 1.286
Mg Ru Al
1 2 1
Cartesian
-1.935 -4.421 2.181
-1.835 -1.325 1.540
-0.001 -0.029 0.006
-0.094 -2.921 0.605